Entry 1:
RbCdIO2 | PBE-GGA | relaxed

Cell and atoms, written as POSCAR:
```
RbCdIO2
1.0
4.7023 0.0000 0.0000
0.0000 4.7023 0.0000
0.0000 0.0000 5.9909
Rb Cd I O
1 1 1 2
Direct
0.0000 0.0000 0.0000
0.5000 0.5000 0.5000
0.5000 0.5000 0.0000
0.0000 0.5000 0.5000
0.5000 0.0000 0.5000
```

Total magnetization, μB/atom: 0.400
Symmetry: P4/mmm, No. 123
ΔE_f (raw), eV per atom: -0.33
E above lowest polymorph, meV per atom: 0


Entry 2:
CdRhIO6 | PBE-GGA | relaxed

Cell and atoms, written as POSCAR:
```
CdRhIO6
1.0
5.2567 0.0000 0.0000
-2.6284 4.5524 0.0000
0.0000 0.0000 9.7902
Cd Rh I O
2 2 2 12
Direct
0.0000 0.0000 0.0000
0.0000 0.0000 0.5000
0.3333 0.6667 0.2500
0.6667 0.3333 0.7500
0.3333 0.6667 0.7500
0.6667 0.3333 0.2500
0.0104 0.3694 0.6396
0.0104 0.6410 0.8604
0.3590 0.3694 0.8604
0.3590 0.9896 0.6396
0.3694 0.0104 0.1396
0.3694 0.3590 0.3604
0.6306 0.6410 0.6396
0.6306 0.9896 0.8604
0.6410 0.0104 0.3604
0.6410 0.6306 0.1396
0.9896 0.3590 0.1396
0.9896 0.6306 0.3604
```

Total magnetization, μB/atom: 0.000
Symmetry: P-31c, No. 163
ΔE_f (raw), eV per atom: -0.63